A relaxed CoNi2GeO6 crystal. Source: the Alexandria database, functional GGA+U.

Computed properties:
raw total energy = -5.538 eV/atom
symmetry = R3, No. 146

a b c (Å): 5.0093 5.0092 5.3058
angles (deg): 61.83 61.83 59.99
Each line ends with the local moment (μB).
Sites, in units of the cell vectors:
Co (0.8176, 0.8176, 0.5472)  1.58
Ni (0.5209, 0.5209, 0.4374)  1.73
Ni (0.0202, 0.0202, 0.9394)  1.69
Ge (0.3137, 0.3137, 0.0590)  0.02
O (0.5984, 0.2075, 0.2533)  0.02
O (0.2075, 0.9409, 0.2532)  0.02
O (0.9409, 0.5983, 0.2534)  0.02
O (0.4409, 0.7035, 0.7574)  -0.03
O (0.7035, 0.0981, 0.7574)  -0.03
O (0.0980, 0.4410, 0.7575)  -0.03



A relaxed Rb2MgV3F12 crystal. Source: the Alexandria database, functional GGA+U.

Computed properties:
raw total energy = -5.668 eV/atom
symmetry = R-3m, No. 166

a b c (Å): 7.4523 7.4523 7.4523
angles (deg): 60.07 60.07 60.07
Each line ends with the local moment (μB).
Sites, in units of the cell vectors:
Rb (0.6348, 0.6348, 0.6348)  0.00
Rb (0.3652, 0.3652, 0.3652)  0.00
Mg (0.0000, 0.0000, 0.0000)  0.00
V (0.5000, 0.0000, 0.0000)  2.21
V (0.0000, 0.5000, 0.0000)  2.21
V (0.0000, 0.0000, 0.5000)  2.21
F (0.3225, 0.3225, 0.9328)  -0.01
F (0.9311, 0.9311, 0.3189)  0.00
F (0.3189, 0.9311, 0.9311)  0.00
F (0.9328, 0.3225, 0.3225)  -0.01
F (0.9311, 0.3189, 0.9311)  0.00
F (0.3225, 0.9328, 0.3225)  -0.01
F (0.6775, 0.6775, 0.0672)  -0.01
F (0.0689, 0.0689, 0.6811)  0.00
F (0.6811, 0.0689, 0.0689)  0.00
F (0.0672, 0.6775, 0.6775)  -0.01
F (0.0689, 0.6811, 0.0689)  0.00
F (0.6775, 0.0672, 0.6775)  -0.01



Summary of calculated volume in Å³/f.u.
96.7; 293.1
(order as listed above)